This record from Alexandria describes an optimized crystal structure of Ho5Pa3H12. The functional is PBE-GGA.

The structure in POSCAR format:
```
Ho5Pa3H12
1.0
-6.447 6.447 6.447
6.447 -6.447 6.447
6.447 6.447 -6.447
Ho Pa H
20 12 48
direct
0.000 0.000 0.000
0.000 0.000 0.500
0.000 0.500 0.000
0.000 0.500 0.500
0.125 0.750 0.875
0.125 0.875 0.250
0.250 0.125 0.875
0.250 0.625 0.375
0.375 0.250 0.625
0.375 0.625 0.750
0.500 0.000 0.000
0.500 0.000 0.500
0.500 0.500 0.000
0.500 0.500 0.500
0.625 0.375 0.250
0.625 0.750 0.375
0.750 0.375 0.625
0.750 0.875 0.125
0.875 0.125 0.750
0.875 0.250 0.125
0.125 0.250 0.375
0.125 0.375 0.750
0.250 0.375 0.125
0.250 0.875 0.625
0.375 0.125 0.250
0.375 0.750 0.125
0.625 0.250 0.875
0.625 0.875 0.750
0.750 0.125 0.375
0.750 0.625 0.875
0.875 0.625 0.250
0.875 0.750 0.625
0.073 0.228 0.152
0.073 0.345 0.921
0.076 0.728 0.655
0.076 0.848 0.421
0.079 0.652 0.424
0.079 0.927 0.655
0.152 0.073 0.228
0.152 0.579 0.924
0.155 0.228 0.576
0.155 0.427 0.579
0.228 0.152 0.073
0.228 0.576 0.155
0.272 0.345 0.924
0.272 0.427 0.348
0.345 0.921 0.073
0.345 0.924 0.272
0.348 0.272 0.427
0.348 0.576 0.921
0.421 0.076 0.848
0.421 0.845 0.573
0.424 0.079 0.652
0.424 0.845 0.772
0.427 0.348 0.272
0.427 0.579 0.155
0.573 0.421 0.845
0.573 0.652 0.728
0.576 0.155 0.228
0.576 0.921 0.348
0.579 0.155 0.427
0.579 0.924 0.152
0.652 0.424 0.079
0.652 0.728 0.573
0.655 0.076 0.728
0.655 0.079 0.927
0.728 0.573 0.652
0.728 0.655 0.076
0.772 0.424 0.845
0.772 0.848 0.927
0.845 0.573 0.421
0.845 0.772 0.424
0.848 0.421 0.076
0.848 0.927 0.772
0.921 0.073 0.345
0.921 0.348 0.576
0.924 0.152 0.579
0.924 0.272 0.345
0.927 0.655 0.079
0.927 0.772 0.848
```

V ... 1072 Å³ per cell
Electronic total energy ... -4.9409 eV/atom
Crystal system ... cubic
Symmetry ... Ia-3d